DFT (PBE) results for a relaxed Er3ScAl8 crystal.

Summary:
N(E_F), states/eV/f.u.: 9.42
V, Å³ per atom: 19.5
ΔE to the lowest computed polymorph, meV/atom: 0
Energy relative to the elements, meV/atom: -500

abc: 9.5352 9.5352 9.5352
angles: 33.40 33.40 33.40
Closest atoms and distances in Å follow each position.
Positions (direct):
Er  0.0000  0.0000  0.0000  12 Al 3.19-3.21, 3 Sc 3.36, 1 Er 3.38
Er  0.1254  0.1254  0.1254  12 Al 3.21-3.25, 4 Er 3.37-3.38
Er  0.5017  0.5017  0.5017  12 Al 3.21-3.27, 1 Sc 3.33, 3 Er 3.37
Sc  0.6250  0.6250  0.6250  12 Al 3.20-3.22, 4 Er 3.33-3.36
Al  0.0617  0.5626  0.5626  6 Al 2.74-2.77
Al  0.0637  0.0637  0.5642  6 Al 2.73-2.76
Al  0.0637  0.5642  0.0637  6 Al 2.73-2.76
Al  0.3129  0.3129  0.3129  6 Al 2.73-2.74
Al  0.5626  0.0617  0.5626  6 Al 2.74-2.77
Al  0.5626  0.5626  0.0617  6 Al 2.74-2.77
Al  0.5642  0.0637  0.0637  6 Al 2.73-2.76
Al  0.8133  0.8133  0.8133  6 Al 2.76-2.77

***

DFT (PBE) results for a relaxed ErSc3Al crystal.

Summary:
N(E_F), states/eV/f.u.: 6.61
V, Å³ per atom: 23.9
ΔE to the lowest computed polymorph, meV/atom: 0
Energy relative to the elements, meV/atom: -165

abc: 6.3253 6.3253 11.6767
angles: 94.74 94.74 30.91
Closest atoms and distances in Å follow each position.
Positions (direct):
Er  0.2313  0.2313  0.2521  2 Al 3.10, 8 Sc 3.32-3.46, 2 Er 3.37
Er  0.7687  0.7687  0.7479  2 Al 3.10, 8 Sc 3.32-3.46, 2 Er 3.37
Sc  0.0302  0.0302  0.6896  2 Al 2.98, 5 Sc 3.20-3.29, 1 Er 3.32
Sc  0.1429  0.1429  0.9519  4 Al 2.93, 3 Sc 3.23-3.25
Sc  0.3654  0.3654  0.5177  9 Sc 3.20-3.37, 3 Er 3.38-3.46
Sc  0.6346  0.6346  0.4823  9 Sc 3.20-3.37, 3 Er 3.38-3.46
Sc  0.8571  0.8571  0.0481  4 Al 2.93, 3 Sc 3.23-3.25
Sc  0.9698  0.9698  0.3104  2 Al 2.98, 5 Sc 3.20-3.29, 1 Er 3.32
Al  0.4534  0.4534  0.8773  6 Sc 2.93-2.98, 1 Al 2.99, 2 Er 3.10
Al  0.5466  0.5466  0.1227  6 Sc 2.93-2.98, 1 Al 2.99, 2 Er 3.10